Crystalline La2CoAu at its relaxed geometry, computed with GGA-PBE.

a b c (Å): 6.5341 6.5341 4.5160
angles (deg): 69.84 69.84 31.95
Positions (direct):
Au 0.5563 0.5563 0.4443
La 0.7572 0.7572 0.7431
Co 0.2315 0.2315 0.2672
La 0.9550 0.9550 0.0454

Properties
Its density of states at the Fermi level is 3.985 states/eV/cell. Its space group is Cm. Its formation energy is -266 meV/atom.